(one)
An optimized crystal structure of CsI2Cl2, computed with GGA-PBE.

Properties
**Fermi-level density of states**: 8.8 states/eV per cell
**Total magnetic moment**: 0.00 μB/cell

a b c (Å): 7.224 7.224 7.224
angles (deg): 130.37 130.37 72.82
Sites, in units of the cell vectors:
Cs  0.000  0.000  0.000
I  0.385  0.385  0.000
I  0.615  0.615  0.000
Cl  0.250  0.750  0.500
Cl  0.750  0.250  0.500

=====

(two)
An optimized crystal structure of CsI2Cl2, computed with GGA-PBE.

Properties
**Fermi-level density of states**: 3.3 states/eV per cell
**Total magnetic moment**: 0.00 μB/cell

a b c (Å): 4.911 4.911 11.606
angles (deg): 90.00 90.00 120.00
Sites, in units of the cell vectors:
Cs  0.000  0.000  0.000
I  0.333  0.667  0.397
I  0.667  0.333  0.603
Cl  0.333  0.667  0.165
Cl  0.667  0.333  0.835

=====

Relative energies, meV/atom: (one) 70; (two) 0.

=====

(one)
An optimized crystal structure of Cs2ICl4, computed with GGA-PBE.

Properties
**Fermi-level density of states**: 5.0 states/eV per cell
**Total magnetic moment**: 1.04 μB/cell

a b c (Å): 7.953 7.953 4.689
angles (deg): 90.00 90.00 90.00
Sites, in units of the cell vectors:
Cs  0.000  0.500  0.000
Cs  0.500  0.000  0.000
I  0.000  0.000  0.500
Cl  0.246  0.246  0.500
Cl  0.246  0.754  0.500
Cl  0.754  0.246  0.500
Cl  0.754  0.754  0.500

=====

(two)
An optimized crystal structure of Cs2ICl4, computed with GGA-PBE.

Properties
**Fermi-level density of states**: 0.1 states/eV per cell
**Total magnetic moment**: 1.03 μB/cell

a b c (Å): 8.111 7.676 7.103
angles (deg): 66.44 60.17 53.39
Sites, in units of the cell vectors:
Cs  0.250  0.250  0.250
Cs  0.750  0.750  0.750
I  0.000  0.000  0.000
Cl  0.237  0.763  0.237
Cl  0.253  0.253  0.747
Cl  0.747  0.747  0.253
Cl  0.763  0.237  0.763

=====

(three)
An optimized crystal structure of Cs2ICl4, computed with GGA-PBE.

Properties
**Fermi-level density of states**: 2.1 states/eV per cell
**Total magnetic moment**: 1.01 μB/cell

a b c (Å): 9.867 9.867 9.867
angles (deg): 146.84 146.84 47.60
Sites, in units of the cell vectors:
Cs  0.141  0.141  0.000
Cs  0.859  0.859  0.000
I  0.500  0.500  0.000
Cl  0.000  0.500  0.500
Cl  0.331  0.331  0.000
Cl  0.500  0.000  0.500
Cl  0.669  0.669  0.000

=====

Relative energies, meV/atom: (one) 61; (two) 0; (three) 91.

=====

(one)
An optimized crystal structure of Cs3I2Cl, computed with GGA-PBE.

Properties
**Fermi-level density of states**: 0.0 states/eV per cell
**Total magnetic moment**: 0.00 μB/cell

a b c (Å): 9.143 9.143 9.204
angles (deg): 90.00 90.00 67.75
Sites, in units of the cell vectors:
Cs  0.089  0.911  0.750
Cs  0.341  0.341  0.000
Cs  0.341  0.341  0.500
Cs  0.659  0.659  0.000
Cs  0.659  0.659  0.500
Cs  0.911  0.089  0.250
I  0.010  0.650  0.250
I  0.350  0.990  0.250
I  0.650  0.010  0.750
I  0.990  0.350  0.750
Cl  0.410  0.590  0.750
Cl  0.590  0.410  0.250

=====

(two)
An optimized crystal structure of Cs3I2Cl, computed with GGA-PBE.

Properties
**Fermi-level density of states**: 0.0 states/eV per cell
**Total magnetic moment**: 0.00 μB/cell

a b c (Å): 9.353 9.353 9.353
angles (deg): 147.03 131.71 59.71
Sites, in units of the cell vectors:
Cs  0.000  0.000  0.000
Cs  0.351  0.351  0.000
Cs  0.649  0.649  0.000
I  0.171  0.671  0.500
I  0.829  0.329  0.500
Cl  0.500  0.000  0.500

=====

Relative energies, meV/atom: (one) 54; (two) 0.

=====

(one)
An optimized crystal structure of Cs2PICl6, computed with GGA-PBE.

Properties
**Fermi-level density of states**: 4.7 states/eV per cell
**Total magnetic moment**: 0.13 μB/cell

a b c (Å): 19.400 19.400 19.400
angles (deg): 20.10 20.10 20.10
Sites, in units of the cell vectors:
Cs  0.113  0.113  0.113
Cs  0.290  0.290  0.290
Cs  0.710  0.710  0.710
Cs  0.887  0.887  0.887
P  0.000  0.000  0.000
P  0.500  0.500  0.500
I  0.410  0.410  0.410
I  0.590  0.590  0.590
Cl  0.174  0.174  0.718
Cl  0.174  0.718  0.174
Cl  0.175  0.630  0.630
Cl  0.282  0.826  0.826
Cl  0.370  0.370  0.825
Cl  0.370  0.825  0.370
Cl  0.630  0.175  0.630
Cl  0.630  0.630  0.175
Cl  0.718  0.174  0.174
Cl  0.825  0.370  0.370
Cl  0.826  0.282  0.826
Cl  0.826  0.826  0.282

=====

(two)
An optimized crystal structure of Cs2PICl6, computed with GGA-PBE.

Properties
**Fermi-level density of states**: 0.0 states/eV per cell
**Total magnetic moment**: 0.00 μB/cell

a b c (Å): 7.862 7.862 7.862
angles (deg): 60.00 60.00 60.00
Sites, in units of the cell vectors:
Cs  0.250  0.250  0.250
Cs  0.750  0.750  0.750
P  0.000  0.000  0.000
I  0.500  0.500  0.500
Cl  0.201  0.201  0.799
Cl  0.201  0.799  0.201
Cl  0.201  0.799  0.799
Cl  0.799  0.201  0.201
Cl  0.799  0.201  0.799
Cl  0.799  0.799  0.201

=====

Relative energies, meV/atom: (one) 32; (two) 0.